{"formula": "EuMgIn2", "functional": "PBE-GGA", "state": "optimized geometry", "lattice_angstrom": [[-3.781, 0.809, 2.131], [-1.713, -4.393, -1.371], [1.869, -2.001, 4.076]], "species": ["Mg", "In", "In", "Eu"], "frac_coords": [[0.500, 0.000, 0.000], [0.000, 0.000, 0.500], [0.000, 0.500, 0.000], [0.500, 0.500, 0.500]], "dos_at_fermi_per_ev_cell": 10.02, "density_g_cm3": 6.33, "dft_energy_ev_per_atom": -4.66, "e_form_mev_per_atom": -323}